[1]
Material: NbCo2Cl
Method: DFT, meta-GGA SCAN
State: single point on PBEsol structure

abc: 5.996 5.996 5.996
angles: 90.00 90.00 90.00
Space group Fm-3m (No. 225)
Unique sites:
1 Nb 0.000 0.000 0.000 [4 per cell]
2 Co 0.250 0.250 0.250 [8 per cell]
3 Cl 0.000 0.000 0.500 [4 per cell]

Values from the calculation:
formation energy from raw total energies = 0.95 eV/atom

[2]
Material: CdCoGeCl2
Method: DFT, meta-GGA SCAN
State: single point on PBEsol structure

abc: 4.541 4.541 4.701
angles: 90.00 90.00 90.00
Space group P4/mmm (No. 123)
Unique sites:
1 Cd 0.000 0.000 0.000 [1 per cell]
2 Co 0.500 0.500 0.500 [1 per cell]
3 Ge 0.500 0.500 0.000 [1 per cell]
4 Cl 0.000 0.500 0.500 [2 per cell]

Values from the calculation:
formation energy from raw total energies = -0.10 eV/atom

[3]
Material: AlB3As
Method: DFT, meta-GGA SCAN
State: single point on PBEsol structure

abc: 4.131 4.131 4.131
angles: 90.00 90.00 90.00
Space group Pm-3m (No. 221)
Unique sites:
1 Al 0.000 0.000 0.000 [1 per cell]
2 B 0.000 0.000 0.500 [3 per cell]
3 As 0.500 0.500 0.500 [1 per cell]

Values from the calculation:
energy of formation = 1.919 eV per atom

[4]
Material: Mg3NiN
Method: DFT, meta-GGA SCAN
State: single point on PBEsol structure

abc: 4.153 4.153 4.153
angles: 90.00 90.00 90.00
Space group Pm-3m (No. 221)
Unique sites:
1 Mg 0.000 0.000 0.500 [3 per cell]
2 Ni 0.500 0.500 0.500 [1 per cell]
3 N 0.000 0.000 0.000 [1 per cell]

Values from the calculation:
formation energy from raw total energies = -0.29 eV/atom

[5]
Material: ReRu2Au
Method: DFT, meta-GGA SCAN
State: single point on PBEsol structure

abc: 2.731 3.804 5.569
angles: 90.00 90.00 90.00
Space group Pmmm (No. 47)
Unique sites:
1 Re 0.000 0.000 0.000 [1 per cell]
2 Ru 0.500 0.500 0.231 [2 per cell]
3 Au 0.000 0.000 0.500 [1 per cell]

Values from the calculation:
polymorph energy (0 for the lowest one) = 0.0827 eV/atom
energy of formation = 0.208 eV per atom

[6]
Material: NaSiP3
Method: DFT, meta-GGA SCAN
State: single point on PBEsol structure

abc: 4.583 4.583 4.583
angles: 90.00 90.00 90.00
Space group Pm-3m (No. 221)
Unique sites:
1 Na 0.000 0.000 0.000 [1 per cell]
2 Si 0.500 0.500 0.500 [1 per cell]
3 P 0.000 0.500 0.500 [3 per cell]

Values from the calculation:
formation energy from raw total energies = 0.50 eV/atom